A plane-wave DFT calculation with PBE was carried out for a relaxed structure of Na6TaAs4.

a = 9.5841 Å, b = 9.5841 Å, c = 7.3175 Å
α = 90.00°, β = 90.00°, γ = 120.00°
Space group P6_3mc (No. 186)
One atom of each set of equivalent atoms:
1 Na 0.0612 0.5306 0.0000
2 Na 0.1465 0.2930 0.3186
3 Ta 0.3333 0.6667 0.6183
4 As 0.1901 0.3803 0.7192
5 As 0.3333 0.6667 0.2802

Properties
The calculation puts the magnetization at 0.00 μB per cell. The calculation puts the energy of formation at -0.45 eV per atom. The total energy is -0.2893 Ry/atom.



A plane-wave DFT calculation with PBE was carried out for a relaxed structure of Ba2ErPaS6.

a = 7.225 Å, b = 7.469 Å, c = 12.619 Å
α = 90.00°, β = 124.84°, γ = 90.00°
Space group P2_1/c (No. 14)
One atom of each set of equivalent atoms:
1 Ba 0.233 0.059 0.249
2 Er 0.000 0.000 0.500
3 Pa 0.500 0.000 0.000
4 S 0.165 0.203 0.957
5 S 0.255 0.709 0.956
6 S 0.335 0.019 0.753

Properties
The calculation puts the magnetization at 0.00 μB per cell. The value obtained for the formation energy (no corrections) is -2.00 eV per atom. The total energy is -0.4603 Ry/atom.



A plane-wave DFT calculation with PBE was carried out for a relaxed structure of VNi2GeSb.

a = 4.444 Å, b = 4.444 Å, c = 4.708 Å
α = 90.00°, β = 90.00°, γ = 90.00°
Space group P4/mmm (No. 123)
One atom of each set of equivalent atoms:
1 V 0.000 0.000 0.000
2 Ni 0.000 0.500 0.000
3 Ge 0.000 0.000 0.500
4 Sb 0.500 0.500 0.500

Properties
The calculation puts the magnetization at 0.00 μB per cell. The value obtained for the formation energy (no corrections) is 0.77 eV per atom. The total energy is -0.3761 Ry/atom.



DOS at the Fermi energy, record by record: 15.22, 0.00, 4.82 states/eV per cell